1.
{"formula": "Cu5AuBr12", "functional": "PBE", "state": "optimized geometry", "lattice": [[6.142, 0.000, 0.000], [3.012, 6.195, 0.000], [1.497, 1.156, 13.247]], "species": ["Cu", "Cu", "Cu", "Cu", "Cu", "Au", "Br", "Br", "Br", "Br", "Br", "Br", "Br", "Br", "Br", "Br", "Br", "Br"], "fractional_positions": [[0.000, 0.000, 0.000], [0.319, 0.350, 0.495], [0.334, 0.333, 0.000], [0.666, 0.667, 0.000], [0.681, 0.650, 0.505], [0.000, 0.000, 0.500], [0.000, 0.456, 0.378], [0.000, 0.544, 0.622], [0.040, 0.245, 0.112], [0.294, 0.088, 0.888], [0.337, 0.889, 0.620], [0.353, 0.758, 0.386], [0.374, 0.578, 0.112], [0.626, 0.422, 0.888], [0.647, 0.242, 0.614], [0.663, 0.111, 0.380], [0.706, 0.912, 0.112], [0.960, 0.755, 0.888]], "final_energy_ev_per_atom": -2.65, "mass_density_g_cm3": 4.85, "raw_formation_energy_ev_per_atom": -0.2124, "magnetic_moment_mub_per_cell": 3.7}

***

2.
{"formula": "Cu2Au2Br7", "functional": "PBE", "state": "optimized geometry", "lattice": [[5.992, -4.436, 0.000], [5.992, 4.436, 0.000], [-4.500, 0.000, 14.798]], "species": ["Cu", "Cu", "Cu", "Cu", "Au", "Au", "Au", "Au", "Br", "Br", "Br", "Br", "Br", "Br", "Br", "Br", "Br", "Br", "Br", "Br", "Br", "Br"], "fractional_positions": [[0.147, 0.294, 0.486], [0.294, 0.147, 0.986], [0.706, 0.853, 0.014], [0.853, 0.706, 0.514], [0.192, 0.596, 0.190], [0.404, 0.808, 0.310], [0.596, 0.192, 0.690], [0.808, 0.404, 0.810], [0.072, 0.316, 0.085], [0.128, 0.184, 0.831], [0.166, 0.601, 0.472], [0.184, 0.128, 0.331], [0.316, 0.072, 0.585], [0.399, 0.834, 0.028], [0.464, 0.536, 0.750], [0.536, 0.464, 0.250], [0.601, 0.166, 0.972], [0.684, 0.928, 0.415], [0.816, 0.872, 0.669], [0.834, 0.399, 0.528], [0.872, 0.816, 0.169], [0.928, 0.684, 0.915]], "final_energy_ev_per_atom": -2.60, "mass_density_g_cm3": 4.56, "raw_formation_energy_ev_per_atom": -0.1900, "magnetic_moment_mub_per_cell": 1.7, "e_above_lowest_polymorph_mev_per_atom": 0}

***

3.
{"formula": "Cu4AuBr", "functional": "PBE", "state": "optimized geometry", "lattice": [[0.000, 3.578, 3.578], [3.578, 0.000, 3.578], [3.578, 3.578, 0.000]], "species": ["Cu", "Cu", "Cu", "Cu", "Au", "Br"], "fractional_positions": [[0.124, 0.124, 0.124], [0.124, 0.124, 0.627], [0.124, 0.627, 0.124], [0.627, 0.124, 0.124], [0.750, 0.750, 0.750], [0.500, 0.500, 0.500]], "final_energy_ev_per_atom": -3.23, "mass_density_g_cm3": 9.63, "raw_formation_energy_ev_per_atom": 0.3232, "magnetic_moment_mub_per_cell": 0.0}

***

4.
{"formula": "CuAuBr2", "functional": "PBE", "state": "optimized geometry", "lattice": [[-3.038, 3.038, 5.802], [3.038, -3.038, 5.802], [3.038, 3.038, -5.802]], "species": ["Cu", "Cu", "Au", "Au", "Br", "Br", "Br", "Br"], "fractional_positions": [[0.000, 0.000, 0.000], [0.750, 0.250, 0.500], [0.250, 0.750, 0.500], [0.500, 0.500, 0.000], [0.090, 0.625, 0.965], [0.375, 0.340, 0.465], [0.660, 0.125, 0.035], [0.875, 0.910, 0.535]], "final_energy_ev_per_atom": -2.73, "mass_density_g_cm3": 6.52, "raw_formation_energy_ev_per_atom": -0.0478, "magnetic_moment_mub_per_cell": 0.0, "e_above_lowest_polymorph_mev_per_atom": 62}

***

5.
{"formula": "Cu2AuBr4", "functional": "PBE", "state": "optimized geometry", "lattice": [[5.653, 0.000, 0.000], [0.000, 5.653, 0.000], [0.000, 0.000, 6.119]], "species": ["Cu", "Cu", "Au", "Br", "Br", "Br", "Br"], "fractional_positions": [[0.000, 0.500, 0.000], [0.500, 0.000, 0.000], [0.000, 0.000, 0.500], [0.261, 0.261, 0.771], [0.261, 0.739, 0.229], [0.739, 0.261, 0.229], [0.739, 0.739, 0.771]], "final_energy_ev_per_atom": -2.79, "mass_density_g_cm3": 5.47, "raw_formation_energy_ev_per_atom": -0.2000, "magnetic_moment_mub_per_cell": 0.0}

***

6.
{"formula": "CuAuBr2", "functional": "PBE", "state": "optimized geometry", "lattice": [[-1.811, 3.855, 3.884], [1.811, -3.855, 3.884], [1.811, 3.855, -3.884]], "species": ["Cu", "Au", "Br", "Br"], "fractional_positions": [[0.000, 0.000, 0.000], [0.500, 0.000, 0.500], [0.225, 0.500, 0.725], [0.775, 0.500, 0.275]], "final_energy_ev_per_atom": -2.57, "mass_density_g_cm3": 6.44, "raw_formation_energy_ev_per_atom": 0.1076, "magnetic_moment_mub_per_cell": 0.0, "e_above_lowest_polymorph_mev_per_atom": 217}